Entry 1:
{"formula": "ZnAgPb2", "functional": "PBEsol", "state": "relaxed", "lattice_angstrom": [[-3.179, -0.899, -0.434], [-0.073, -1.234, 3.095], [-2.430, 7.232, 2.826]], "species": ["Pb", "Pb", "Zn", "Ag"], "fractional_positions": [[0.000, 0.000, 0.951], [0.500, 0.500, 0.300], [0.000, 0.000, 0.547], [0.500, 0.500, 0.702]], "ef_ev_per_atom": 0.058, "volume_a3_per_cell": 90}

Entry 2:
{"formula": "Li8MnNi7O16", "functional": "PBEsol", "state": "relaxed", "lattice_angstrom": [[-4.395, -2.950, 3.628], [-2.834, -4.451, -3.696], [2.557, -6.993, 0.906]], "species": ["Li", "Li", "Li", "Li", "Li", "Li", "Li", "Li", "Mn", "Ni", "Ni", "Ni", "Ni", "Ni", "Ni", "Ni", "O", "O", "O", "O", "O", "O", "O", "O", "O", "O", "O", "O", "O", "O", "O", "O"], "fractional_positions": [[0.931, 0.561, 0.816], [0.559, 0.936, 0.689], [0.193, 0.316, 0.562], [0.807, 0.684, 0.438], [0.441, 0.064, 0.311], [0.069, 0.439, 0.184], [0.689, 0.812, 0.058], [0.311, 0.188, 0.942], [0.000, 0.000, 0.500], [0.747, 0.248, 0.750], [0.253, 0.752, 0.250], [0.626, 0.373, 0.375], [0.374, 0.627, 0.625], [0.877, 0.123, 0.127], [0.500, 0.500, 0.000], [0.123, 0.877, 0.873], [0.850, 0.908, 0.767], [0.487, 0.290, 0.647], [0.898, 0.321, 0.476], [0.633, 0.588, 0.727], [0.256, 0.975, 0.596], [0.744, 0.025, 0.404], [0.367, 0.412, 0.273], [0.777, 0.442, 0.108], [0.102, 0.679, 0.524], [0.513, 0.710, 0.353], [0.150, 0.092, 0.233], [0.595, 0.185, 0.017], [0.223, 0.558, 0.892], [0.989, 0.801, 0.150], [0.405, 0.815, 0.983], [0.011, 0.199, 0.850]], "e_form_raw_ev_per_atom": -1.38, "volume_a3_per_cell": 265}

Entry 3:
{"formula": "MgTc", "functional": "PBEsol", "state": "relaxed", "lattice_angstrom": [[2.847, 0.000, 0.000], [-1.424, 2.466, 0.000], [0.000, 0.000, 9.340]], "species": ["Mg", "Mg", "Tc", "Tc"], "fractional_positions": [[0.333, 0.667, 0.146], [0.667, 0.333, 0.854], [0.333, 0.667, 0.604], [0.667, 0.333, 0.396]], "ef_ev_per_atom": 0.141, "de_polymorph_kcal_per_mol_atoms": 2.91, "volume_a3_per_cell": 66}

Entry 4:
{"formula": "CoSi2Se", "functional": "PBEsol", "state": "relaxed", "lattice_angstrom": [[3.252, 0.000, 0.000], [1.626, 3.544, 0.021], [1.626, 1.336, 5.246]], "species": ["Si", "Si", "Co", "Se"], "fractional_positions": [[0.967, 0.145, 0.921], [0.746, 0.791, 0.717], [0.503, 0.441, 0.552], [0.283, 0.123, 0.310]], "e_form_raw_ev_per_atom": -0.03, "volume_a3_per_cell": 60}

Entry 5:
{"formula": "InSbC2", "functional": "PBEsol", "state": "relaxed", "lattice_angstrom": [[5.075, 0.000, 0.000], [0.000, 5.075, 0.000], [-2.537, -2.537, 4.978]], "species": ["Sb", "Sb", "C", "C", "C", "C", "In", "In"], "fractional_positions": [[0.250, 0.750, 0.500], [0.000, 0.000, 0.000], [0.357, 0.875, 0.250], [0.893, 0.375, 0.250], [0.125, 0.107, 0.750], [0.625, 0.643, 0.750], [0.750, 0.250, 0.500], [0.500, 0.500, 0.000]], "e_form_raw_ev_per_atom": 0.95, "volume_a3_per_cell": 128}

Entry 6:
{"formula": "Ta7Mo", "functional": "PBEsol", "state": "relaxed", "lattice_angstrom": [[4.603, 0.000, 0.000], [0.000, 4.603, 0.000], [-2.301, -2.301, 6.532]], "species": ["Mo", "Ta", "Ta", "Ta", "Ta", "Ta", "Ta", "Ta"], "fractional_positions": [[0.000, 0.000, 0.000], [0.878, 0.378, 0.756], [0.748, 0.748, 0.496], [0.622, 0.122, 0.244], [0.500, 0.500, 0.000], [0.378, 0.878, 0.756], [0.252, 0.252, 0.504], [0.122, 0.622, 0.244]], "ef_ev_per_atom": -0.037, "de_polymorph_kcal_per_mol_atoms": 0.22, "volume_a3_per_cell": 138}

Entry 7:
{"formula": "MoOsBr2", "functional": "PBEsol", "state": "relaxed", "lattice_angstrom": [[-1.376, 2.823, -1.496], [-1.191, -3.159, -0.822], [-4.961, 1.294, 7.006]], "species": ["Mo", "Os", "Br", "Br"], "fractional_positions": [[0.574, 0.147, 0.705], [0.234, 0.467, 0.547], [0.977, 0.954, 0.930], [0.716, 0.432, 0.317]], "e_form_raw_ev_per_atom": 0.12, "de_polymorph_kcal_per_mol_atoms": 0.00, "volume_a3_per_cell": 90}

Entry 8:
{"formula": "CsKCa3", "functional": "PBEsol", "state": "relaxed", "lattice_angstrom": [[-2.925, 5.247, -3.397], [-4.245, -4.421, -3.172], [-4.588, 0.745, 5.101]], "species": ["Cs", "Ca", "Ca", "Ca", "K"], "fractional_positions": [[0.500, 0.500, 0.500], [0.000, 0.500, 0.000], [0.000, 0.000, 0.500], [0.500, 0.000, 0.000], [0.000, 0.000, 0.000]], "ef_ev_per_atom": 0.626, "de_polymorph_kcal_per_mol_atoms": 0.00, "volume_a3_per_cell": 329}

Entry 9:
{"formula": "Tl2Se", "functional": "PBEsol", "state": "relaxed", "lattice_angstrom": [[3.743, 0.000, 0.000], [0.000, 3.743, 0.000], [-1.871, -1.871, 6.010]], "species": ["Tl", "Tl", "Se"], "fractional_positions": [[0.640, 0.640, 0.281], [0.360, 0.360, 0.719], [0.000, 0.000, 0.000]], "e_form_raw_ev_per_atom": -0.27, "de_polymorph_kcal_per_mol_atoms": 0.92, "volume_a3_per_cell": 84}

Entry 10:
{"formula": "TaCu2Rh", "functional": "PBEsol", "state": "relaxed", "lattice_angstrom": [[-0.035, 2.608, 2.632], [1.936, -2.230, 2.234], [2.386, 1.287, -3.851]], "species": ["Rh", "Cu", "Cu", "Ta"], "fractional_positions": [[0.500, 0.000, 0.000], [0.750, 0.750, 0.500], [0.250, 0.250, 0.500], [0.000, 0.500, 0.000]], "ef_ev_per_atom": -0.155, "volume_a3_per_cell": 54}

Entry 11:
{"formula": "Ta2FeW", "functional": "PBEsol", "state": "relaxed", "lattice_angstrom": [[-2.141, -0.984, 2.110], [2.462, -3.595, 0.820], [1.960, 4.464, 1.702]], "species": ["Fe", "Ta", "Ta", "W"], "fractional_positions": [[0.247, 0.247, 0.495], [0.992, 0.492, 0.985], [0.754, 0.754, 0.508], [0.506, 0.006, 0.013]], "ef_ev_per_atom": 0.012, "volume_a3_per_cell": 62}

Entry 12:
{"formula": "Zn4Pt", "functional": "PBEsol", "state": "relaxed", "lattice_angstrom": [[3.388, 0.000, 0.000], [0.000, 3.388, 0.000], [-1.694, -1.694, 6.437]], "species": ["Pt", "Zn", "Zn", "Zn", "Zn"], "fractional_positions": [[0.000, 0.000, 0.000], [0.250, 0.750, 0.500], [0.406, 0.406, 0.811], [0.594, 0.594, 0.189], [0.750, 0.250, 0.500]], "ef_ev_per_atom": -0.004, "volume_a3_per_cell": 74}